# GGA-PBE LaIn2Pt, relaxed
# Energy ... -4.61 eV/atom
# DFT formation energy ... -0.498 eV/atom
data_LaIn2Pt
_symmetry_space_group_name_H-M 'P 4/m m m'
_symmetry_Int_Tables_number 123
_symmetry_space_group_name_Hall '-P 4 2'
_cell_length_a 3.500
_cell_length_b 3.500
_cell_length_c 7.692
_cell_angle_alpha 90.00
_cell_angle_beta 90.00
_cell_angle_gamma 90.00
loop_
_atom_site_label
_atom_site_type_symbol
_atom_site_fract_x
_atom_site_fract_y
_atom_site_fract_z
La1 La 0.000 0.000 0.000
In1 In 0.500 0.500 0.303
Pt1 Pt 0.000 0.000 0.500



# GGA-PBE La2InPt, relaxed
# Energy ... -5.38 eV/atom
# DFT formation energy ... -0.722 eV/atom
data_La2InPt
_symmetry_space_group_name_H-M 'I m m 2'
_symmetry_Int_Tables_number 44
_cell_length_a 3.768
_cell_length_b 4.950
_cell_length_c 11.859
_cell_angle_alpha 90.00
_cell_angle_beta 90.00
_cell_angle_gamma 90.00
loop_
_symmetry_equiv_pos_as_xyz
'x,y,z'
'-x,-y,z'
'-x,y,z'
'x,-y,z'
'x+1/2,y+1/2,z+1/2'
'-x+1/2,-y+1/2,z+1/2'
'-x+1/2,y+1/2,z+1/2'
'x+1/2,-y+1/2,z+1/2'
loop_
_atom_site_label
_atom_site_type_symbol
_atom_site_fract_x
_atom_site_fract_y
_atom_site_fract_z
La1 La 0.000 0.000 0.000
La2 La 0.000 0.500 0.205
In1 In 0.000 0.000 0.403
Pt1 Pt 0.000 0.500 0.717



# GGA-PBE La2InPt, relaxed
# Energy ... -5.39 eV/atom
# DFT formation energy ... -0.732 eV/atom
data_La2InPt
_symmetry_space_group_name_H-M 'R -3 m'
_symmetry_Int_Tables_number 166
_symmetry_space_group_name_Hall '-R 3 2"'
_cell_length_a 4.1367
_cell_length_b 4.1367
_cell_length_c 25.5130
_cell_angle_alpha 90.00
_cell_angle_beta 90.00
_cell_angle_gamma 120.00
loop_
_atom_site_label
_atom_site_type_symbol
_atom_site_fract_x
_atom_site_fract_y
_atom_site_fract_z
La1 La 0.0000 0.0000 0.2349
In1 In 0.0000 0.0000 0.0000
Pt1 Pt 0.0000 0.0000 0.5000



# GGA-PBE La4In5Pt2, relaxed
# Energy ... -4.86 eV/atom
# DFT formation energy ... -0.726 eV/atom
data_La4In5Pt2
_symmetry_space_group_name_H-M 'P 1 2/m 1'
_symmetry_Int_Tables_number 10
_cell_length_a 7.952
_cell_length_b 3.836
_cell_length_c 10.070
_cell_angle_alpha 90.00
_cell_angle_beta 94.54
_cell_angle_gamma 90.00
loop_
_symmetry_equiv_pos_as_xyz
'x,y,z'
'-x,-y,-z'
'-x,y,-z'
'x,-y,z'
loop_
_atom_site_label
_atom_site_type_symbol
_atom_site_fract_x
_atom_site_fract_y
_atom_site_fract_z
La1 La 0.172 0.000 0.358
La2 La 0.230 0.000 0.944
In1 In 0.187 0.500 0.655
In2 In 0.453 0.500 0.187
In3 In 0.500 0.500 0.500
Pt1 Pt 0.072 0.500 0.140



# GGA-PBE LaIn2Pt, relaxed
# Energy ... -4.66 eV/atom
# DFT formation energy ... -0.545 eV/atom
data_LaIn2Pt
_symmetry_space_group_name_H-M 'I m m m'
_symmetry_Int_Tables_number 71
_symmetry_space_group_name_Hall '-I 2 2'
_cell_length_a 3.505
_cell_length_b 5.177
_cell_length_c 10.922
_cell_angle_alpha 90.00
_cell_angle_beta 90.00
_cell_angle_gamma 90.00
loop_
_atom_site_label
_atom_site_type_symbol
_atom_site_fract_x
_atom_site_fract_y
_atom_site_fract_z
La1 La 0.000 0.000 0.000
In1 In 0.000 0.500 0.211
Pt1 Pt 0.000 0.000 0.500



# GGA-PBE LaInPt5, relaxed
# Energy ... -6.11 eV/atom
# DFT formation energy ... -0.704 eV/atom
data_LaInPt5
_symmetry_space_group_name_H-M 'P n m a'
_symmetry_Int_Tables_number 62
_cell_length_a 8.970
_cell_length_b 5.386
_cell_length_c 11.113
_cell_angle_alpha 90.00
_cell_angle_beta 90.00
_cell_angle_gamma 90.00
loop_
_symmetry_equiv_pos_as_xyz
'x,y,z'
'-x,-y,-z'
'-x+1/2,-y,z+1/2'
'x+1/2,y,-z+1/2'
'x+1/2,-y+1/2,-z+1/2'
'-x+1/2,y+1/2,z+1/2'
'-x,y+1/2,-z'
'x,-y+1/2,z'
loop_
_atom_site_label
_atom_site_type_symbol
_atom_site_fract_x
_atom_site_fract_y
_atom_site_fract_z
La1 La 0.249 0.250 0.059
In1 In 0.145 0.250 0.359
Pt1 Pt 0.038 0.250 0.584
Pt2 Pt 0.067 0.505 0.799
Pt3 Pt 0.087 0.750 0.012
Pt4 Pt 0.188 0.750 0.242



# GGA-PBE LaIn2Pt, relaxed
# Energy ... -4.58 eV/atom
# DFT formation energy ... -0.467 eV/atom
data_LaIn2Pt
_symmetry_space_group_name_H-M 'F m -3 m'
_symmetry_Int_Tables_number 225
_symmetry_space_group_name_Hall '-F 4 2 3'
_cell_length_a 7.196
_cell_length_b 7.196
_cell_length_c 7.196
_cell_angle_alpha 90.00
_cell_angle_beta 90.00
_cell_angle_gamma 90.00
loop_
_atom_site_label
_atom_site_type_symbol
_atom_site_fract_x
_atom_site_fract_y
_atom_site_fract_z
La1 La 0.000 0.000 0.000
In1 In 0.250 0.250 0.250
Pt1 Pt 0.000 0.000 0.500



# GGA-PBE La8In2Pt, relaxed
# Energy ... -5.04 eV/atom
# DFT formation energy ... -0.412 eV/atom
data_La8In2Pt
_symmetry_space_group_name_H-M 'C 1 2/m 1'
_symmetry_Int_Tables_number 12
_cell_length_a 18.818
_cell_length_b 5.603
_cell_length_c 7.031
_cell_angle_alpha 90.00
_cell_angle_beta 108.47
_cell_angle_gamma 90.00
loop_
_symmetry_equiv_pos_as_xyz
'x,y,z'
'-x,-y,-z'
'-x,y,-z'
'x,-y,z'
'x+1/2,y+1/2,z'
'-x+1/2,-y+1/2,-z'
'-x+1/2,y+1/2,-z'
'x+1/2,-y+1/2,z'
loop_
_atom_site_label
_atom_site_type_symbol
_atom_site_fract_x
_atom_site_fract_y
_atom_site_fract_z
La1 La 0.005 0.000 0.276
La2 La 0.095 0.500 0.919
La3 La 0.151 0.500 0.435
La4 La 0.210 0.000 0.749
In1 In 0.177 0.000 0.195
Pt1 Pt 0.000 0.500 0.500



# GGA-PBE La2InPt, relaxed
# Energy ... -5.16 eV/atom
# DFT formation energy ... -0.506 eV/atom
data_La2InPt
_symmetry_space_group_name_H-M 'F -4 3 m'
_symmetry_Int_Tables_number 216
_symmetry_space_group_name_Hall 'F -4 2 3'
_cell_length_a 7.330
_cell_length_b 7.330
_cell_length_c 7.330
_cell_angle_alpha 90.00
_cell_angle_beta 90.00
_cell_angle_gamma 90.00
loop_
_atom_site_label
_atom_site_type_symbol
_atom_site_fract_x
_atom_site_fract_y
_atom_site_fract_z
La1 La 0.000 0.000 0.000
La2 La 0.250 0.250 0.250
In1 In 0.000 0.000 0.500
Pt1 Pt 0.250 0.250 0.750



# GGA-PBE La2In8Pt, relaxed
# Energy ... -3.93 eV/atom
# DFT formation energy ... -0.493 eV/atom
data_La2In8Pt
_symmetry_space_group_name_H-M 'P 4/m m m'
_symmetry_Int_Tables_number 123
_symmetry_space_group_name_Hall '-P 4 2'
_cell_length_a 4.777
_cell_length_b 4.777
_cell_length_c 12.461
_cell_angle_alpha 90.00
_cell_angle_beta 90.00
_cell_angle_gamma 90.00
loop_
_atom_site_label
_atom_site_type_symbol
_atom_site_fract_x
_atom_site_fract_y
_atom_site_fract_z
La1 La 0.000 0.000 0.194
In1 In 0.000 0.500 0.000
In2 In 0.000 0.500 0.378
In3 In 0.500 0.500 0.191
Pt1 Pt 0.000 0.000 0.500



# GGA-PBE LaIn2Pt, relaxed
# Energy ... -4.72 eV/atom
# DFT formation energy ... -0.608 eV/atom
data_LaIn2Pt
_symmetry_space_group_name_H-M 'C 1 2/m 1'
_symmetry_Int_Tables_number 12
_cell_length_a 7.974
_cell_length_b 4.594
_cell_length_c 6.139
_cell_angle_alpha 90.00
_cell_angle_beta 115.52
_cell_angle_gamma 90.00
loop_
_symmetry_equiv_pos_as_xyz
'x,y,z'
'-x,-y,-z'
'-x,y,-z'
'x,-y,z'
'x+1/2,y+1/2,z'
'-x+1/2,-y+1/2,-z'
'-x+1/2,y+1/2,-z'
'x+1/2,-y+1/2,z'
loop_
_atom_site_label
_atom_site_type_symbol
_atom_site_fract_x
_atom_site_fract_y
_atom_site_fract_z
La1 La 0.000 0.000 0.000
In1 In 0.218 0.000 0.655
Pt1 Pt 0.000 0.500 0.500



# GGA-PBE La3InPt, relaxed
# Energy ... -5.38 eV/atom
# DFT formation energy ... -0.664 eV/atom
# ΔE to the lowest computed polymorph ... 0 meV per atom
data_La3InPt
_symmetry_space_group_name_H-M 'P -1'
_symmetry_Int_Tables_number 2
_cell_length_a 5.833
_cell_length_b 6.934
_cell_length_c 9.481
_cell_angle_alpha 69.13
_cell_angle_beta 89.94
_cell_angle_gamma 65.13
loop_
_symmetry_equiv_pos_as_xyz
'x,y,z'
'-x,-y,-z'
loop_
_atom_site_label
_atom_site_type_symbol
_atom_site_fract_x
_atom_site_fract_y
_atom_site_fract_z
La1 La 0.118 0.264 0.251
La2 La 0.155 0.190 0.637
La3 La 0.376 0.748 0.094
In1 In 0.400 0.700 0.551
Pt1 Pt 0.127 0.246 0.938



# GGA-PBE La6In3Pt, relaxed
# Energy ... -4.89 eV/atom
# DFT formation energy ... -0.505 eV/atom
data_La6In3Pt
_symmetry_space_group_name_H-M 'P 1 21/c 1'
_symmetry_Int_Tables_number 14
_cell_length_a 5.596
_cell_length_b 9.632
_cell_length_c 13.069
_cell_angle_alpha 90.00
_cell_angle_beta 115.32
_cell_angle_gamma 90.00
loop_
_symmetry_equiv_pos_as_xyz
'x,y,z'
'-x,-y,-z'
'-x,y+1/2,-z+1/2'
'x,-y+1/2,z+1/2'
loop_
_atom_site_label
_atom_site_type_symbol
_atom_site_fract_x
_atom_site_fract_y
_atom_site_fract_z
La1 La 0.058 0.180 0.057
La2 La 0.235 0.503 0.236
La3 La 0.438 0.157 0.437
In1 In 0.247 0.663 0.746
In2 In 0.500 0.000 0.000
Pt1 Pt 0.000 0.000 0.500



# GGA-PBE La6In2Pt, relaxed
# Energy ... -5.03 eV/atom
# DFT formation energy ... -0.469 eV/atom
# ΔE to the lowest computed polymorph ... 54 meV per atom
data_La6In2Pt
_symmetry_space_group_name_H-M 'P n n m'
_symmetry_Int_Tables_number 58
_cell_length_a 9.757
_cell_length_b 10.634
_cell_length_c 5.645
_cell_angle_alpha 90.00
_cell_angle_beta 90.00
_cell_angle_gamma 90.00
loop_
_symmetry_equiv_pos_as_xyz
'x,y,z'
'-x,-y,-z'
'-x,-y,z'
'x,y,-z'
'x+1/2,-y+1/2,-z+1/2'
'-x+1/2,y+1/2,z+1/2'
'-x+1/2,y+1/2,-z+1/2'
'x+1/2,-y+1/2,z+1/2'
loop_
_atom_site_label
_atom_site_type_symbol
_atom_site_fract_x
_atom_site_fract_y
_atom_site_fract_z
La1 La 0.000 0.211 0.000
La2 La 0.137 0.425 0.500
La3 La 0.215 0.061 0.500
In1 In 0.170 0.749 0.500
Pt1 Pt 0.000 0.500 0.000



# GGA-PBE LaIn2Pt, relaxed
# Energy ... -4.67 eV/atom
# DFT formation energy ... -0.555 eV/atom
data_LaIn2Pt
_symmetry_space_group_name_H-M 'P m m m'
_symmetry_Int_Tables_number 47
_cell_length_a 4.280
_cell_length_b 4.502
_cell_length_c 5.083
_cell_angle_alpha 90.00
_cell_angle_beta 90.00
_cell_angle_gamma 90.00
loop_
_symmetry_equiv_pos_as_xyz
'x,y,z'
'-x,-y,-z'
'-x,-y,z'
'x,y,-z'
'x,-y,-z'
'-x,y,z'
'-x,y,-z'
'x,-y,z'
loop_
_atom_site_label
_atom_site_type_symbol
_atom_site_fract_x
_atom_site_fract_y
_atom_site_fract_z
La1 La 0.000 0.000 0.000
In1 In 0.000 0.500 0.500
In2 In 0.500 0.000 0.500
Pt1 Pt 0.500 0.500 0.000



# GGA-PBE LaInPt2, relaxed
# Energy ... -5.62 eV/atom
# DFT formation energy ... -0.680 eV/atom
data_LaInPt2
_symmetry_space_group_name_H-M 'I -4 m 2'
_symmetry_Int_Tables_number 119
_symmetry_space_group_name_Hall 'I -4 -2'
_cell_length_a 4.231
_cell_length_b 4.231
_cell_length_c 9.649
_cell_angle_alpha 90.00
_cell_angle_beta 90.00
_cell_angle_gamma 90.00
loop_
_atom_site_label
_atom_site_type_symbol
_atom_site_fract_x
_atom_site_fract_y
_atom_site_fract_z
La1 La 0.000 0.000 0.000
In1 In 0.000 0.500 0.250
Pt1 Pt 0.000 0.000 0.500
Pt2 Pt 0.000 0.500 0.750



# GGA-PBE LaInPt4, relaxed
# Energy ... -6.15 eV/atom
# DFT formation energy ... -0.848 eV/atom
data_LaInPt4
_symmetry_space_group_name_H-M 'F -4 3 m'
_symmetry_Int_Tables_number 216
_symmetry_space_group_name_Hall 'F -4 2 3'
_cell_length_a 7.745
_cell_length_b 7.745
_cell_length_c 7.745
_cell_angle_alpha 90.00
_cell_angle_beta 90.00
_cell_angle_gamma 90.00
loop_
_atom_site_label
_atom_site_type_symbol
_atom_site_fract_x
_atom_site_fract_y
_atom_site_fract_z
La1 La 0.000 0.000 0.000
In1 In 0.250 0.250 0.750
Pt1 Pt 0.124 0.124 0.376



# GGA-PBE La5In2Pt, relaxed
# Energy ... -5.09 eV/atom
# DFT formation energy ... -0.573 eV/atom
data_La5In2Pt
_symmetry_space_group_name_H-M 'P b a m'
_symmetry_Int_Tables_number 55
_cell_length_a 7.927
_cell_length_b 12.948
_cell_length_c 5.028
_cell_angle_alpha 90.00
_cell_angle_beta 90.00
_cell_angle_gamma 90.00
loop_
_symmetry_equiv_pos_as_xyz
'x,y,z'
'-x,-y,-z'
'-x,-y,z'
'x,y,-z'
'x+1/2,-y+1/2,-z'
'-x+1/2,y+1/2,z'
'-x+1/2,y+1/2,-z'
'x+1/2,-y+1/2,z'
loop_
_atom_site_label
_atom_site_type_symbol
_atom_site_fract_x
_atom_site_fract_y
_atom_site_fract_z
La1 La 0.000 0.000 0.000
La2 La 0.132 0.293 0.000
La3 La 0.182 0.575 0.500
In1 In 0.086 0.835 0.500
Pt1 Pt 0.000 0.500 0.000



# GGA-PBE LaIn2Pt, relaxed
# Energy ... -4.79 eV/atom
# DFT formation energy ... -0.681 eV/atom
data_LaIn2Pt
_symmetry_space_group_name_H-M 'C m m m'
_symmetry_Int_Tables_number 65
_symmetry_space_group_name_Hall '-C 2 2'
_cell_length_a 5.530
_cell_length_b 8.023
_cell_length_c 4.754
_cell_angle_alpha 90.00
_cell_angle_beta 90.00
_cell_angle_gamma 90.00
loop_
_atom_site_label
_atom_site_type_symbol
_atom_site_fract_x
_atom_site_fract_y
_atom_site_fract_z
La1 La 0.000 0.000 0.000
In1 In 0.000 0.317 0.500
Pt1 Pt 0.000 0.500 0.000



# GGA-PBE La3In7Pt4, relaxed
# Energy ... -4.91 eV/atom
# DFT formation energy ... -0.759 eV/atom
data_La3In7Pt4
_symmetry_space_group_name_H-M 'C 1 2/m 1'
_symmetry_Int_Tables_number 12
_cell_length_a 16.930
_cell_length_b 4.537
_cell_length_c 10.318
_cell_angle_alpha 90.00
_cell_angle_beta 123.66
_cell_angle_gamma 90.00
loop_
_symmetry_equiv_pos_as_xyz
'x,y,z'
'-x,-y,-z'
'-x,y,-z'
'x,-y,z'
'x+1/2,y+1/2,z'
'-x+1/2,-y+1/2,-z'
'-x+1/2,y+1/2,-z'
'x+1/2,-y+1/2,z'
loop_
_atom_site_label
_atom_site_type_symbol
_atom_site_fract_x
_atom_site_fract_y
_atom_site_fract_z
La1 La 0.000 0.000 0.000
La2 La 0.192 0.500 0.702
In1 In 0.000 0.000 0.500
In2 In 0.007 0.500 0.288
In3 In 0.163 0.000 0.431
In4 In 0.182 0.500 0.027
Pt1 Pt 0.118 0.000 0.841
Pt2 Pt 0.162 0.500 0.270